# 1
# Li3Ho3GaS8 (PBE, relaxed)
data_Li3Ho3GaS8
_cell_length_a 7.7151
_cell_length_b 7.7151
_cell_length_c 18.1360
_cell_angle_alpha 90.00
_cell_angle_beta 90.00
_cell_angle_gamma 120.00
_space_group_name_H-M_alt 'R -3 m'
_space_group_IT_number 166
_space_group_name_Hall '-R 3 2"'
loop_
_atom_site_label
_atom_site_type_symbol
_atom_site_fract_x
_atom_site_fract_y
_atom_site_fract_z
Li1 Li 0.0000 0.5000 0.0000
Ho1 Ho 0.0000 0.5000 0.5000
Ga1 Ga 0.0000 0.0000 0.5000
S1 S 0.0000 0.0000 0.2508
S2 S 0.0238 0.5119 0.2467
# Energy ... -5.176 eV/atom
# ΔE_f (raw) ... -142 kJ per mole of atoms

***

# 2
# LiSmHoGa (PBE, relaxed)
data_LiSmHoGa
_cell_length_a 7.266
_cell_length_b 7.266
_cell_length_c 7.266
_cell_angle_alpha 90.00
_cell_angle_beta 90.00
_cell_angle_gamma 90.00
_space_group_name_H-M_alt 'F -4 3 m'
_space_group_IT_number 216
_space_group_name_Hall 'F -4 2 3'
loop_
_atom_site_label
_atom_site_type_symbol
_atom_site_fract_x
_atom_site_fract_y
_atom_site_fract_z
Li1 Li 0.000 0.000 0.000
Sm1 Sm 0.250 0.250 0.750
Ho1 Ho 0.250 0.250 0.250
Ga1 Ga 0.000 0.000 0.500
# Energy ... -3.865 eV/atom
# Energy of formation from the pure elements ... -0.3058 eV/atom

***

# 3
# Li2SmHo2Ga2 (PBE, relaxed)
data_Li2SmHo2Ga2
_cell_length_a 4.6303
_cell_length_b 4.6303
_cell_length_c 26.2019
_cell_angle_alpha 90.00
_cell_angle_beta 90.00
_cell_angle_gamma 120.00
_space_group_name_H-M_alt 'R -3 m'
_space_group_IT_number 166
_space_group_name_Hall '-R 3 2"'
loop_
_atom_site_label
_atom_site_type_symbol
_atom_site_fract_x
_atom_site_fract_y
_atom_site_fract_z
Li1 Li 0.0000 0.0000 0.0984
Sm1 Sm 0.0000 0.0000 0.5000
Ho1 Ho 0.0000 0.0000 0.3727
Ga1 Ga 0.0000 0.0000 0.2413
# Energy ... -3.674 eV/atom
# Energy of formation from the pure elements ... -0.2801 eV/atom

***

# 4
# Li2HoGaSn2 (PBE, relaxed)
data_Li2HoGaSn2
_cell_length_a 4.410
_cell_length_b 8.547
_cell_length_c 7.236
_cell_angle_alpha 90.00
_cell_angle_beta 90.00
_cell_angle_gamma 90.00
_space_group_name_H-M_alt 'P m c 21'
_space_group_IT_number 26
_space_group_name_Hall 'P 2c -2'
loop_
_atom_site_label
_atom_site_type_symbol
_atom_site_fract_x
_atom_site_fract_y
_atom_site_fract_z
Li1 Li 0.000 0.082 0.000
Li2 Li 0.500 0.154 0.321
Ho1 Ho 0.500 0.457 0.975
Ga1 Ga 0.000 0.339 0.656
Sn1 Sn 0.000 0.341 0.257
Sn2 Sn 0.500 0.158 0.721
# Energy ... -3.680 eV/atom
# Energy of formation from the pure elements ... -0.4399 eV/atom

***

# 5
# Li2TbHo2Ga2 (PBE, relaxed)
data_Li2TbHo2Ga2
_cell_length_a 4.5958
_cell_length_b 4.5958
_cell_length_c 26.1772
_cell_angle_alpha 90.00
_cell_angle_beta 90.00
_cell_angle_gamma 120.00
_space_group_name_H-M_alt 'R -3 m'
_space_group_IT_number 166
_space_group_name_Hall '-R 3 2"'
loop_
_atom_site_label
_atom_site_type_symbol
_atom_site_fract_x
_atom_site_fract_y
_atom_site_fract_z
Li1 Li 0.0000 0.0000 0.1015
Tb1 Tb 0.0000 0.0000 0.5000
Ho1 Ho 0.0000 0.0000 0.3735
Ga1 Ga 0.0000 0.0000 0.2392
# Energy ... -3.659 eV/atom
# Energy of formation from the pure elements ... -0.2779 eV/atom

***

# 6
# LiHo2Ga5Tc2 (PBE, relaxed)
data_LiHo2Ga5Tc2
_cell_length_a 10.183
_cell_length_b 10.183
_cell_length_c 3.490
_cell_angle_alpha 90.00
_cell_angle_beta 90.00
_cell_angle_gamma 90.00
_space_group_name_H-M_alt 'P 4/m b m'
_space_group_IT_number 127
_space_group_name_Hall '-P 4 2ab'
loop_
_atom_site_label
_atom_site_type_symbol
_atom_site_fract_x
_atom_site_fract_y
_atom_site_fract_z
Li1 Li 0.000 0.000 0.000
Ho1 Ho 0.183 0.317 0.000
Ga1 Ga 0.000 0.500 0.500
Ga2 Ga 0.053 0.807 0.500
Tc1 Tc 0.126 0.626 0.000
# Energy ... -4.984 eV/atom
# Energy of formation from the pure elements ... -0.2905 eV/atom

***

# 7
# LiHo2Ga6Tc (PBE, relaxed)
data_LiHo2Ga6Tc
_cell_length_a 12.105
_cell_length_b 5.424
_cell_length_c 7.557
_cell_angle_alpha 90.00
_cell_angle_beta 122.72
_cell_angle_gamma 90.00
_space_group_name_H-M_alt 'C 1 2/m 1'
_space_group_IT_number 12
_space_group_name_Hall '-C 2y'
loop_
_atom_site_label
_atom_site_type_symbol
_atom_site_fract_x
_atom_site_fract_y
_atom_site_fract_z
Li1 Li 0.000 0.000 0.000
Ho1 Ho 0.150 0.000 0.746
Ga1 Ga 0.116 0.262 0.355
Ga2 Ga 0.246 0.000 0.222
Tc1 Tc 0.000 0.500 0.500
# Energy ... -4.212 eV/atom
# Energy of formation from the pure elements ... -0.2527 eV/atom

***

# 8
# LiHoTiGa (PBE, relaxed)
data_LiHoTiGa
_cell_length_a 6.753
_cell_length_b 6.753
_cell_length_c 6.753
_cell_angle_alpha 90.00
_cell_angle_beta 90.00
_cell_angle_gamma 90.00
_space_group_name_H-M_alt 'F -4 3 m'
_space_group_IT_number 216
_space_group_name_Hall 'F -4 2 3'
loop_
_atom_site_label
_atom_site_type_symbol
_atom_site_fract_x
_atom_site_fract_y
_atom_site_fract_z
Li1 Li 0.000 0.000 0.000
Ho1 Ho 0.250 0.250 0.250
Ti1 Ti 0.250 0.250 0.750
Ga1 Ga 0.000 0.000 0.500
# Energy ... -4.496 eV/atom
# Energy of formation from the pure elements ... -0.1423 eV/atom